DFT (GGA+U) results for a relaxed PrW2O8 crystal.

a = 7.432 Å, b = 7.468 Å, c = 7.603 Å
α = 113.51°, β = 116.13°, γ = 91.18°
Space group P-1 (No. 2)
Unique sites:
Pr  0.172  0.286  0.449 x2
W  0.276  0.298  0.034 x2
W  0.350  0.896  0.711 x2
O  0.078  0.330  0.115 x2
O  0.145  0.999  0.810 x2
O  0.168  0.648  0.554 x2
O  0.200  0.362  0.806 x2
O  0.288  0.000  0.523 x2
O  0.402  0.182  0.274 x2
O  0.479  0.532  0.254 x2
O  0.484  0.837  0.003 x2

Calculated values
Magnetization   2.115 μB/cell
Total energy   -7.512 eV/atom
Energy above the most stable polymorph in this dataset   0.0 meV per atom